Record 1
VASP calculation (PBE-GGA) on an optimized crystal structure of BaNiPt.

a b c (Å): 5.9601 5.9601 5.9601
angles (deg): 145.36 145.36 49.80
With the nearest neighbours (Å) after each atom.
Element x y z (fractional)
Ba1 0.0048 0.0048 0.0000  1 Ni 2.90, 1 Pt 3.06
Ni1 0.2732 0.2732 0.0000  4 Pt 2.57
Pt1 0.7220 0.7220 0.0000  4 Ni 2.57

Output
SG	I4mm
magnetization	0.0	μB/cell
calculated total energy	-4.674	eV per atom
theoretical density	9.54	g/cm³
crystal system	tetragonal

=====

Record 2
VASP calculation (PBE-GGA) on an optimized crystal structure of Ba2NiPt.

a b c (Å): 5.4411 5.4388 3.8578
angles (deg): 90.00 90.00 90.00
With the nearest neighbours (Å) after each atom.
Element x y z (fractional)
Ba1 0.0000 0.0000 0.0000  4 Pt 3.33, 4 Ni 3.33
Ba2 0.5000 0.5000 0.0000  4 Ni 3.33, 4 Pt 3.33
Ni1 0.5000 0.0000 0.5000  8 Ba 3.33
Pt1 0.0000 0.5000 0.5000  8 Ba 3.33

Output
SG	P4/mmm
magnetization	0.1	μB/cell
calculated total energy	-4.117	eV per atom
theoretical density	7.69	g/cm³
crystal system	tetragonal

=====

Record 3
VASP calculation (PBE-GGA) on an optimized crystal structure of Ba2NiPt.

a b c (Å): 6.5055 6.5055 6.5055
angles (deg): 139.74 139.74 58.24
With the nearest neighbours (Å) after each atom.
Element x y z (fractional)
Ba1 0.0000 0.0000 0.0000  4 Ni 3.17
Ba2 0.2500 0.7500 0.5000  4 Pt 3.17
Ni1 0.5000 0.5000 0.0000  4 Ba 3.17
Pt1 0.7500 0.2500 0.5000  4 Ba 3.17

Output
SG	I-4m2
magnetization	0.0	μB/cell
calculated total energy	-3.958	eV per atom
theoretical density	7.70	g/cm³
crystal system	tetragonal

=====

Record 4
VASP calculation (PBE-GGA) on an optimized crystal structure of BaNiPt2.

a b c (Å): 4.4720 4.4720 6.0416
angles (deg): 68.16 68.16 60.00
With the nearest neighbours (Å) after each atom.
Element x y z (fractional)
Ni1 0.3192 0.3192 0.0425  6 Pt 2.59-2.63
Ba1 0.4965 0.4965 0.5099  1 Ni 2.91, 1 Pt 3.05
Pt1 0.0009 0.0009 0.9974  3 Ni 2.59, 3 Pt 2.59-2.60
Pt2 0.6833 0.6833 0.9503  3 Pt 2.59-2.60, 3 Ni 2.63

Output
SG	Cm
magnetization	0.0	μB/cell
calculated total energy	-5.425	eV per atom
theoretical density	10.30	g/cm³
crystal system	monoclinic

=====

Record 5
VASP calculation (PBE-GGA) on an optimized crystal structure of Ba4NiPt.

a b c (Å): 6.7818 6.7818 6.7818
angles (deg): 60.00 60.00 60.00
With the nearest neighbours (Å) after each atom.
Element x y z (fractional)
Ba1 0.8762 0.3746 0.3746  6 Ba 3.38-3.40
Ba2 0.3746 0.3746 0.8762  6 Ba 3.38-3.40
Ba3 0.3746 0.8762 0.3746  6 Ba 3.38-3.40
Ba4 0.3746 0.3746 0.3746  6 Ba 3.38-3.40
Ni1 0.7500 0.7500 0.7500  12 Ba 3.98, 4 Pt 4.15
Pt1 0.0000 0.0000 0.0000  12 Ba 3.98, 4 Ni 4.15

Output
SG	F-43m
magnetization	0.0	μB/cell
calculated total energy	-2.401	eV per atom
theoretical density	6.05	g/cm³
crystal system	cubic

=====

Record 6
VASP calculation (PBE-GGA) on an optimized crystal structure of BaNiPt2.

a b c (Å): 6.6762 5.2075 3.1665
angles (deg): 90.07 61.57 119.75
With the nearest neighbours (Å) after each atom.
Element x y z (fractional)
Ba1 0.0000 0.5000 0.5000  2 Ni 2.94, 8 Pt 3.05, 2 Ba 3.17
Ni1 0.5000 0.5000 0.0000  2 Ba 2.94, 8 Pt 3.05, 2 Ni 3.17
Pt1 0.0000 0.0000 0.0000  4 Pt 2.94-3.17, 4 Ni 3.05, 4 Ba 3.05
Pt2 0.5000 0.0000 0.5000  4 Pt 2.94-3.17, 4 Ba 3.05, 4 Ni 3.05

Output
SG	Cmmm
magnetization	0.6	μB/cell
calculated total energy	-4.721	eV per atom
theoretical density	12.17	g/cm³
crystal system	orthorhombic

=====

Record 7
VASP calculation (PBE-GGA) on an optimized crystal structure of Ba2NiSb4Pt3.

a b c (Å): 4.7877 4.7877 10.6638
angles (deg): 90.00 90.00 90.00
With the nearest neighbours (Å) after each atom.
Element x y z (fractional)
Ba1 0.5000 0.0000 0.2573  2 Ni 3.53, 6 Pt 3.53-3.68, 9 Sb 3.63-3.86
Ba2 0.0000 0.5000 0.7427  6 Pt 3.53-3.68, 2 Ni 3.53, 9 Sb 3.63-3.86
Ni1 0.5000 0.5000 0.5000  4 Sb 2.71
Sb1 0.5000 0.5000 0.0000  4 Pt 2.73
Sb2 0.0000 0.0000 0.0000  4 Pt 2.73
Sb3 0.5000 0.0000 0.6192  2 Ni 2.71, 3 Pt 2.71-2.75
Sb4 0.0000 0.5000 0.3808  3 Pt 2.71-2.75, 2 Ni 2.71
Pt1 0.0000 0.0000 0.5000  4 Sb 2.71
Pt2 0.5000 0.0000 0.8769  5 Sb 2.73-2.75
Pt3 0.0000 0.5000 0.1231  5 Sb 2.73-2.75

Output
SG	P-4m2
formation energy (no corrections)	-0.734	eV per atom
magnetization	0.0	μB/cell
theoretical density	9.55	g/cm³
crystal system	tetragonal

=====

Record 8
VASP calculation (PBE-GGA) on an optimized crystal structure of BaScNiPt2.

a b c (Å): 4.9099 4.8398 4.9099
angles (deg): 90.00 90.00 90.00
With the nearest neighbours (Å) after each atom.
Element x y z (fractional)
Sc1 0.5000 0.5000 0.5000  8 Pt 3.45, 4 Ba 3.47
Ni1 0.0000 0.0000 0.0000  2 Ba 2.42, 4 Pt 2.45
Ba1 0.0000 0.5000 0.0000  2 Ni 2.42
Pt1 0.0000 0.0000 0.5000  2 Ni 2.45
Pt2 0.5000 0.0000 0.0000  2 Ni 2.45

Output
SG	P4/mmm
magnetization	0.0	μB/cell
calculated total energy	-4.904	eV per atom
theoretical density	8.98	g/cm³
crystal system	tetragonal

=====

Record 9
VASP calculation (PBE-GGA) on an optimized crystal structure of Ba2SiNiPt6.

a b c (Å): 6.9034 6.5094 6.5199
angles (deg): 63.83 57.97 89.93
With the nearest neighbours (Å) after each atom.
Element x y z (fractional)
Ba1 0.8036 0.1964 0.3925  1 Ni 3.04, 6 Pt 3.22-3.36
Ba2 0.1964 0.8036 0.6075  1 Ni 3.04, 6 Pt 3.22-3.36
Si1 0.5000 0.5000 0.0000  6 Pt 2.46
Ni1 0.0000 0.0000 0.0000  6 Pt 2.50
Pt1 0.2455 0.3576 0.5085  1 Si 2.46, 1 Ni 2.50, 2 Pt 2.73
Pt2 0.6429 0.7536 0.1124  1 Si 2.46, 1 Ni 2.50, 2 Pt 2.73-2.75
Pt3 0.2451 0.7544 0.1128  1 Si 2.46, 1 Ni 2.50, 2 Pt 2.73-2.75
Pt4 0.7549 0.2456 0.8872  1 Si 2.46, 1 Ni 2.50, 2 Pt 2.73-2.75
Pt5 0.3571 0.2464 0.8876  1 Si 2.46, 1 Ni 2.50, 2 Pt 2.73-2.75
Pt6 0.7545 0.6424 0.4915  1 Si 2.46, 1 Ni 2.50, 2 Pt 2.73

Output
SG	C2/m
formation energy (no corrections)	-0.600	eV per atom
magnetization	0.0	μB/cell
theoretical density	11.99	g/cm³
crystal system	monoclinic

=====

Record 10
VASP calculation (PBE-GGA) on an optimized crystal structure of BaSiNiPt6.

a b c (Å): 7.6556 8.4668 8.1103
angles (deg): 121.46 118.16 90.00
With the nearest neighbours (Å) after each atom.
Element x y z (fractional)
Ba1 0.8583 0.6083 0.7165  6 Pt 3.06-3.07
Ba2 0.1417 0.3917 0.2835  6 Pt 3.06-3.07
Si1 0.5000 0.5000 0.0000  6 Pt 2.32-2.37
Si2 0.5000 0.0000 0.0000  6 Pt 2.32-2.37
Ni1 0.5000 0.0000 0.5000  6 Pt 2.40-2.43
Ni2 0.0000 0.0000 0.5000  6 Pt 2.40-2.43
Pt1 0.4075 0.6575 0.8150  2 Si 2.37
Pt2 0.8752 0.1252 0.7505  2 Ni 2.40
Pt3 0.8610 0.1017 0.2464  1 Si 2.32, 1 Ni 2.43
Pt4 0.3854 0.6447 0.2464  1 Si 2.32, 1 Ni 2.43
Pt5 0.3854 0.1017 0.2464  1 Si 2.32, 1 Ni 2.43
Pt6 0.8610 0.6447 0.2464  1 Si 2.32, 1 Ni 2.43
Pt7 0.5925 0.3425 0.1850  2 Si 2.37
Pt8 0.1248 0.8748 0.2495  2 Ni 2.40
Pt9 0.1390 0.8983 0.7536  1 Si 2.32, 1 Ni 2.43
Pt10 0.6146 0.3553 0.7536  1 Si 2.32, 1 Ni 2.43
Pt11 0.6146 0.8983 0.7536  1 Si 2.32, 1 Ni 2.43
Pt12 0.1390 0.3553 0.7536  1 Si 2.32, 1 Ni 2.43

Output
SG	Imma
formation energy (no corrections)	-0.140	eV per atom
magnetization	1.3	μB/cell
theoretical density	12.40	g/cm³
crystal system	orthorhombic

=====

Record 11
VASP calculation (PBE-GGA) on an optimized crystal structure of BaSi8Ni2Pt.

a b c (Å): 5.5434 5.5434 8.3100
angles (deg): 70.52 70.52 60.00
With the nearest neighbours (Å) after each atom.
Element x y z (fractional)
Ba1 0.5000 0.5000 0.5000  12 Si 3.17-3.45, 6 Ni 3.43
Si1 0.1110 0.1110 0.6670  1 Ni 2.51, 1 Pt 2.55, 3 Si 2.67
Si2 0.5518 0.3639 0.1452  1 Ni 2.29, 1 Si 2.46, 1 Pt 2.51
Si3 0.8890 0.8890 0.3330  1 Ni 2.51, 1 Pt 2.55, 3 Si 2.67
Si4 0.9391 0.5518 0.1452  1 Ni 2.29, 1 Si 2.46, 1 Pt 2.51
Si5 0.0609 0.4482 0.8548  1 Ni 2.29, 1 Si 2.46, 1 Pt 2.51
Si6 0.3639 0.9391 0.1452  1 Ni 2.29, 1 Si 2.46, 1 Pt 2.51
Si7 0.6361 0.0609 0.8548  1 Ni 2.29, 1 Si 2.46, 1 Pt 2.51
Si8 0.4482 0.6361 0.8548  1 Ni 2.29, 1 Si 2.46, 1 Pt 2.51
Ni1 0.2202 0.2202 0.3393  4 Si 2.29-2.51
Ni2 0.7798 0.7798 0.6607  4 Si 2.29-2.51
Pt1 0.0000 0.0000 0.0000  8 Si 2.51-2.55

Output
SG	R-3
formation energy (no corrections)	-0.056	eV per atom
magnetization	0.0	μB/cell
theoretical density	5.49	g/cm³
crystal system	trigonal

=====

Record 12
VASP calculation (PBE-GGA) on an optimized crystal structure of Ba2Si3NiPt12.

a b c (Å): 7.9674 7.9674 7.9674
angles (deg): 62.17 62.17 62.17
With the nearest neighbours (Å) after each atom.
Element x y z (fractional)
Ba1 0.6203 0.6203 0.6203  6 Pt 3.07-3.09
Ba2 0.3797 0.3797 0.3797  6 Pt 3.07-3.09
Si1 0.5000 0.0000 0.0000  6 Pt 2.31-2.36
Si2 0.0000 0.5000 0.0000  6 Pt 2.31-2.36
Si3 0.0000 0.0000 0.5000  6 Pt 2.31-2.36
Ni1 0.0000 0.0000 0.0000  6 Pt 2.41
Pt1 0.3507 0.3507 0.9030  2 Si 2.36
Pt2 0.8887 0.8887 0.3614  1 Si 2.31, 1 Ni 2.41
Pt3 0.3614 0.8887 0.8887  1 Si 2.31, 1 Ni 2.41
Pt4 0.9030 0.3507 0.3507  2 Si 2.36
Pt5 0.8887 0.3614 0.8887  1 Si 2.31, 1 Ni 2.41
Pt6 0.3507 0.9030 0.3507  2 Si 2.36
Pt7 0.6493 0.6493 0.0970  2 Si 2.36
Pt8 0.1113 0.1113 0.6386  1 Si 2.31, 1 Ni 2.41
Pt9 0.6386 0.1113 0.1113  1 Si 2.31, 1 Ni 2.41
Pt10 0.0970 0.6493 0.6493  2 Si 2.36
Pt11 0.1113 0.6386 0.1113  1 Si 2.31, 1 Ni 2.41
Pt12 0.6493 0.0970 0.6493  2 Si 2.36

Output
SG	R-3m
formation energy (no corrections)	-0.325	eV per atom
magnetization	0.0	μB/cell
theoretical density	12.22	g/cm³
crystal system	trigonal